The following is a PBE calculation of crystalline Pr4Ho3Sc2 at its relaxed geometry, from the Alexandria database.

Calculated values
Polymorph energy (0 for the lowest one) = 0.000 eV/atom
Raw total energy = -4.967 eV per atom
Size of the total moment = 0.000 μB/cell
SG = C2/m, No. 12
Energy of formation from the pure elements = 91 meV per atom

Lattice parameters (Å, degrees): 6.632 6.632 14.132 115.06 115.06 31.54
Atoms (fractional coordinates):
Pr 0.220 0.220 0.372
Pr 0.279 0.279 0.886
Pr 0.721 0.721 0.114
Pr 0.780 0.780 0.628
Ho 0.000 0.000 0.500
Ho 0.010 0.010 0.887
Ho 0.990 0.990 0.113
Sc 0.455 0.455 0.292
Sc 0.545 0.545 0.708